# 1
! YNiAu4 | Alexandria via LeMat-Bulk | GGA-PBE | relaxed; values from VASP
&SYSTEM
  ibrav = 0, nat = 6, ntyp = 3
/
ATOMIC_SPECIES
Y 88.91 Y.upf
Ni 58.69 Ni.upf
Au 196.97 Au.upf
CELL_PARAMETERS angstrom
0.0000 3.8785 3.8785
3.8785 0.0000 3.8785
3.8785 3.8785 0.0000
ATOMIC_POSITIONS angstrom
Y 0.0000 0.0000 0.0000
Ni 1.9392 1.9392 1.9392
Au 4.8444 2.9125 2.9125
Au 2.9125 4.8444 2.9125
Au 2.9125 2.9125 4.8444
Au 4.8444 4.8444 4.8444
! E_form: -0.220 eV/atom
! Space group: No. 216


# 2
! NaSrAg2 | Alexandria via LeMat-Bulk | GGA-PBE | relaxed; values from VASP
&SYSTEM
  ibrav = 0, nat = 4, ntyp = 3
/
ATOMIC_SPECIES
Na 22.99 Na.upf
Sr 87.62 Sr.upf
Ag 107.87 Ag.upf
CELL_PARAMETERS angstrom
3.8828 0.0000 0.0000
0.0000 3.8828 0.0000
0.0000 0.0000 7.0524
ATOMIC_POSITIONS angstrom
Na 0.0000 0.0000 0.0000
Sr 0.0000 0.0000 3.5262
Ag 1.9414 1.9414 1.5189
Ag 1.9414 1.9414 5.5334
! E_form: -0.135 eV/atom
! Space group: No. 123


# 3
! SrLaAs2Se | Alexandria via LeMat-Bulk | GGA-PBE | relaxed; values from VASP
&SYSTEM
  ibrav = 0, nat = 5, ntyp = 4
/
ATOMIC_SPECIES
Sr 87.62 Sr.upf
La 138.91 La.upf
As 74.92 As.upf
Se 78.96 Se.upf
CELL_PARAMETERS angstrom
5.3996 0.0000 0.0000
0.0000 5.3996 0.0000
0.0000 0.0000 5.5568
ATOMIC_POSITIONS angstrom
Sr 0.0000 0.0000 0.0000
La 2.6998 2.6998 2.7784
As 0.0000 2.6998 0.0000
As 2.6998 0.0000 0.0000
Se 0.0000 0.0000 2.7784
! Space group: No. 123
! E_form (uncorrected): -0.18 eV per atom


# 4
! BaRuSeF2 | Alexandria via LeMat-Bulk | GGA-PBE | relaxed; values from VASP
&SYSTEM
  ibrav = 0, nat = 5, ntyp = 4
/
ATOMIC_SPECIES
Ba 137.33 Ba.upf
Ru 101.07 Ru.upf
Se 78.96 Se.upf
F 19.00 F.upf
CELL_PARAMETERS angstrom
4.7186 0.0000 0.0000
0.0000 4.7186 0.0000
0.0000 0.0000 7.0713
ATOMIC_POSITIONS angstrom
Ba 0.0000 0.0000 0.0000
Ru 2.3593 2.3593 3.5356
Se 0.0000 0.0000 3.5356
F 0.0000 2.3593 0.0000
F 2.3593 0.0000 0.0000
! Space group: No. 123
! E_form (uncorrected): -0.94 eV per atom


So what do the calculations give for final energy? Going down the list: -4.446, -2.311, -4.056, -4.625 eV per atom.
So what do the calculations give for density of states at the Fermi level? Going down the list: 3.6, 1.3, 4.6, 2.5 states/eV/cell.